1.
Rb4Sn5Pb2 | PBE-GGA | relaxed

abc: 6.1031 7.9970 9.3243
angles: 91.12 90.00 90.00
Atoms (fractional coordinates):
Sn 0.0000 0.6281 0.6120
Sn 0.0000 0.0000 0.5000
Sn 0.0000 0.4193 0.8609
Sn 0.0000 0.3719 0.3880
Sn 0.0000 0.5807 0.1391
Pb 0.0000 0.9545 0.1742
Pb 0.0000 0.0455 0.8258
Rb 0.5000 0.2667 0.6236
Rb 0.5000 0.2538 0.1174
Rb 0.5000 0.7462 0.8826
Rb 0.5000 0.7333 0.3764

Energy of formation from the pure elements   -147 meV/atom
ρ   4926 kg/m3
Space-group type   P2/m, No. 10
Spin magnetization   0.0 Bohr magnetons per cell

2.
Tb6Nd2Sm5 | PBE-GGA | relaxed

abc: 3.6148 11.7831 20.5573
angles: 90.00 90.00 90.00
Atoms (fractional coordinates):
Sm 0.5000 0.2001 0.9476
Sm 0.5000 0.7999 0.0524
Sm 0.5000 0.7001 0.5524
Sm 0.5000 0.0872 0.2221
Sm 0.5000 0.2999 0.4476
Sm 0.5000 0.4128 0.7221
Sm 0.5000 0.9128 0.7779
Sm 0.5000 0.5872 0.2779
Sm 0.5000 0.0000 0.5000
Sm 0.5000 0.5000 0.0000
Nd 0.0000 0.6720 0.7161
Nd 0.0000 0.1720 0.7839
Nd 0.0000 0.3280 0.2839
Nd 0.0000 0.8280 0.2161
Tb 0.0000 0.0774 0.3658
Tb 0.5000 0.1794 0.6297
Tb 0.0000 0.9226 0.6342
Tb 0.0000 0.5602 0.4224
Tb 0.0000 0.9398 0.9224
Tb 0.5000 0.6794 0.8703
Tb 0.0000 0.4226 0.8658
Tb 0.0000 0.4398 0.5776
Tb 0.0000 0.0602 0.0776
Tb 0.5000 0.3206 0.1297
Tb 0.5000 0.8206 0.3703
Tb 0.0000 0.5774 0.1342

Energy of formation from the pure elements   94 meV/atom
ρ   7562 kg/m3
Space-group type   Pbam, No. 55
Spin magnetization   0.0 Bohr magnetons per cell

3.
Rb3Pm3RuO8 | PBE-GGA | relaxed

abc: 7.0028 7.0034 7.7436
angles: 116.89 90.00 120.00
Atoms (fractional coordinates):
O 0.2045 0.9607 0.6651
O 0.7263 0.4527 0.6790
O 0.2737 0.5473 0.3210
O 0.2046 0.4093 0.6652
O 0.7954 0.5907 0.3348
O 0.2438 0.0393 0.3349
O 0.7562 0.9607 0.6651
O 0.7955 0.0393 0.3349
Rb 0.0000 0.5000 0.0000
Rb 0.0000 0.0000 0.0000
Rb 0.5000 0.5000 0.0000
Pm 0.0000 0.5000 0.5000
Pm 0.5000 0.0000 0.5000
Pm 0.5000 0.5000 0.5000
Ru 0.0000 0.0000 0.5000

ρ   5450 kg/m3
Space-group type   R-3m, No. 166
Spin magnetization   2.0 Bohr magnetons per cell
Energy relative to the elements, uncorrected   -214.6 kJ per mole of atoms

4.
MnZnNiPd | PBE-GGA | relaxed

abc: 4.2495 4.2495 4.2495
angles: 60.00 60.00 60.00
Atoms (fractional coordinates):
Pd 0.7500 0.7500 0.7500
Ni 0.2500 0.2500 0.2500
Zn 0.5000 0.5000 0.5000
Mn 0.0000 0.0000 0.0000

Energy of formation from the pure elements   -234 meV/atom
ρ   8735 kg/m3
Space-group type   F-43m, No. 216
Spin magnetization   4.5 Bohr magnetons per cell

| no. | total energy (eV per atom) |
| --- | --- |
| 1 | -2.9923 |
| 2 | -4.5915 |
| 3 | -6.6310 |
| 4 | -5.5883 |